Record 1
TlGaO2 | GGA-PBE | optimized geometry

SG: No. 225
DOS at the Fermi energy, states/eV/cell: 2.7
Relative energy among the computed polymorphs, eV/atom: 1.2467
Formation energy without anion corrections, meV per atom: -158.7
V, A^3/atom: 13.80

```
TlGaO2
1.0
3.4048 -2.1273 1.4670
0.4301 -0.7149 4.1921
-0.4574 -3.9566 1.5512
O Ga Tl
2 1 1
direct
0.7500 0.7500 0.7500
0.2500 0.2500 0.2500
0.0000 0.0000 0.0000
0.5000 0.5000 0.5000
```

=====

Record 2
TbHo8Mg2 | GGA-PBE | optimized geometry

SG: No. 12
DOS at the Fermi energy, states/eV/cell: 16.0
Energy of formation from the pure elements, eV/atom: 0.020
Relative energy among the computed polymorphs, eV/atom: 0.0000
V, A^3/atom: 29.81

```
TbHo8Mg2
1.0
-1.8380 -2.8142 4.0728
7.5349 -3.3568 1.0809
-0.4294 8.3649 2.1628
Ho Tb Mg
8 1 2
direct
0.0557 0.7355 0.1115
0.3998 0.5286 0.7996
0.8520 0.7960 0.7040
0.6002 0.4714 0.2004
0.3122 0.0493 0.6243
0.1480 0.2040 0.2960
0.6878 0.9507 0.3757
0.9443 0.2645 0.8885
0.5000 0.0000 0.0000
0.2266 0.6292 0.4532
0.7734 0.3708 0.5468
```

=====

Record 3
NaCa3Rh | GGA-PBE | optimized geometry

SG: No. 221
DOS at the Fermi energy, states/eV/cell: 4.9
Energy of formation from the pure elements, eV/atom: 0.906
Relative energy among the computed polymorphs, eV/atom: 1.1098
V, A^3/atom: 34.70

```
NaCa3Rh
1.0
5.5775 0.0000 0.0000
0.0000 5.5775 0.0000
0.0000 0.0000 5.5775
Ca Na Rh
3 1 1
direct
0.0000 0.0000 0.5000
0.5000 0.0000 0.0000
0.0000 0.5000 0.0000
0.0000 0.0000 0.0000
0.5000 0.5000 0.5000
```

=====

Record 4
Y5Co4 | GGA-PBE | optimized geometry

SG: No. 12
DOS at the Fermi energy, states/eV/cell: 7.5
Energy of formation from the pure elements, eV/atom: -0.166
Relative energy among the computed polymorphs, eV/atom: 0.0000
V, A^3/atom: 21.24

```
Y5Co4
1.0
-3.2510 -1.9274 1.3409
-1.5102 -4.1639 -3.6501
3.6056 -7.9162 3.3598
Co Y
4 5
direct
0.4076 0.5739 0.6109
0.4553 0.2603 0.8290
0.5924 0.4261 0.3891
0.5447 0.7397 0.1710
0.0000 0.0000 0.0000
0.7655 0.6483 0.8208
0.1098 0.1768 0.6035
0.8902 0.8232 0.3965
0.2345 0.3517 0.1792
```

=====

Record 5
TaNi2Te | GGA-PBE | optimized geometry

SG: No. 12
DOS at the Fermi energy, states/eV/cell: 2.8
Formation energy without anion corrections, meV per atom: 145.8
V, A^3/atom: 16.84

```
TaNi2Te
1.0
-3.0011 -3.1750 0.3290
-0.5392 -3.8870 -1.9484
2.1331 -3.1166 3.2802
Ni Ta Te
2 1 1
direct
0.9819 0.9819 0.0642
0.5181 0.5181 0.4358
0.2500 0.2500 0.2500
0.7500 0.7500 0.7500
```

=====

Record 6
Cs3U2Se7 | GGA-PBE | optimized geometry

SG: No. 65
DOS at the Fermi energy, states/eV/cell: 8.1
Formation energy without anion corrections, meV per atom: -1181.1
V, A^3/atom: 35.85

```
Cs3U2Se7
1.0
-4.8598 0.5616 2.4542
0.4933 -5.0569 2.1340
6.1890 8.0053 10.4235
Se Cs U
7 3 2
direct
0.5000 0.9046 0.8092
0.0000 0.4048 0.8096
0.0000 0.5952 0.1904
0.5000 0.0954 0.1908
0.0000 0.8117 0.6233
0.0000 0.0000 0.0000
0.0000 0.1883 0.3767
0.5000 0.5000 0.0000
0.5000 0.3123 0.6245
0.5000 0.6877 0.3755
0.0000 0.9031 0.8061
0.0000 0.0969 0.1939
```

=====

Record 7
ThTcB4 | GGA-PBE | optimized geometry

SG: No. 71
DOS at the Fermi energy, states/eV/cell: 3.0
Energy of formation from the pure elements, eV/atom: -0.104
Relative energy among the computed polymorphs, eV/atom: 0.5036
V, A^3/atom: 11.29

```
ThTcB4
1.0
3.1835 0.0000 0.0000
1.5918 4.7752 0.1801
1.5918 1.5688 4.5137
B Tc Th
4 1 1
direct
0.2488 0.4187 0.0836
0.2488 0.0836 0.4187
0.7512 0.9164 0.5813
0.7512 0.5813 0.9164
0.5000 0.5000 0.5000
0.0000 0.0000 0.0000
```

=====

Record 8
Pu3Br2N2 | GGA-PBE | optimized geometry

SG: No. 12
DOS at the Fermi energy, states/eV/cell: 16.7
Formation energy without anion corrections, meV per atom: -1266.7
V, A^3/atom: 22.07

```
Pu3Br2N2
1.0
3.5179 -0.0037 0.0008
-1.7527 5.8833 -0.1466
-0.0036 -1.1664 7.4956
Br N Pu
2 2 3
direct
0.1162 0.2322 0.3762
0.8838 0.7678 0.6238
0.3579 0.7158 0.0489
0.6421 0.2842 0.9511
0.0000 0.0000 0.0000
0.7807 0.5612 0.2013
0.2193 0.4388 0.7987
```

=====

Record 9
Cs5K3Hg2 | GGA-PBE | optimized geometry

SG: No. 127
DOS at the Fermi energy, states/eV/cell: 21.0
Energy of formation from the pure elements, eV/atom: -0.077
V, A^3/atom: 75.37

```
Cs5K3Hg2
1.0
-1.3251 -5.1954 -0.6708
14.7422 -4.5831 6.3746
-6.6980 -0.2670 15.2983
Cs K Hg
10 6 4
direct
0.5000 0.7169 0.4287
0.5000 0.2831 0.5713
0.5000 0.5000 0.0000
0.5000 0.5713 0.7169
0.5000 0.0713 0.7831
0.5000 0.9287 0.2169
0.5000 0.0000 0.5000
0.5000 0.2169 0.0713
0.5000 0.4287 0.2831
0.5000 0.7831 0.9287
0.0000 0.8268 0.6732
0.0000 0.5000 0.5000
0.0000 0.3268 0.8268
0.0000 0.0000 0.0000
0.0000 0.1732 0.3268
0.0000 0.6732 0.1732
0.0000 0.1221 0.6221
0.0000 0.6221 0.8779
0.0000 0.8779 0.3779
0.0000 0.3779 0.1221
```

=====

Record 10
YIn2Ir | GGA-PBE | optimized geometry

SG: No. 71
DOS at the Fermi energy, states/eV/cell: 2.7
Energy of formation from the pure elements, eV/atom: -0.299
V, A^3/atom: 22.42

```
YIn2Ir
1.0
6.1228 0.0456 -0.0004
3.1052 5.2772 0.0004
-4.0336 -3.6675 2.7874
Ir Y In
1 1 2
direct
0.7500 0.2500 0.5000
0.2500 0.7500 0.5000
0.5377 0.5377 0.0000
0.9623 0.9623 0.0000
```

=====

Record 11
Mg2ScPd2 | GGA-PBE | optimized geometry

SG: No. 127
DOS at the Fermi energy, states/eV/cell: 8.4
Energy of formation from the pure elements, eV/atom: -0.549
Relative energy among the computed polymorphs, eV/atom: 0.0847
V, A^3/atom: 17.81

```
Mg2ScPd2
1.0
7.7564 0.0000 0.0000
0.0000 7.7564 0.0000
0.0000 0.0000 2.9604
Pd Mg Sc
4 4 2
direct
0.8268 0.3268 0.5000
0.3268 0.1732 0.5000
0.6732 0.8268 0.5000
0.1732 0.6732 0.5000
0.6263 0.1263 0.0000
0.1263 0.3737 0.0000
0.3737 0.8737 0.0000
0.8737 0.6263 0.0000
0.5000 0.5000 0.0000
0.0000 0.0000 0.0000
```

=====

Record 12
TiNbCrMo | GGA-PBE | optimized geometry

SG: No. 216
DOS at the Fermi energy, states/eV/cell: 6.6
Energy of formation from the pure elements, eV/atom: -0.003
V, A^3/atom: 15.54

```
TiNbCrMo
1.0
4.4460 0.0000 0.0000
2.2230 3.8504 0.0000
2.2230 1.2835 3.6302
Mo Ti Cr Nb
1 1 1 1
direct
0.2500 0.2500 0.2500
0.0000 0.0000 0.0000
0.7500 0.7500 0.7500
0.5000 0.5000 0.5000
```